[1]
Computed, not measured: CsClF2 after structural relaxation at the PBE level of DFT.

a = 6.670 Å, b = 6.670 Å, c = 6.670 Å
α = 42.94°, β = 42.94°, γ = 42.94°
Fractional positions:
1 Cs 0.000 0.000 0.000
2 Cl 0.500 0.500 0.500
3 F 0.396 0.396 0.396
4 F 0.604 0.604 0.604

## Properties
- density (Mg/m³) = 2.7
- energy relative to the lowest polymorph listed for this composition (eV per atom) = 0.0029
- energy relative to the elements, uncorrected (meV per atom) = -1720
- crystal system = trigonal

***

[2]
Computed, not measured: AcErPd2 after structural relaxation at the PBE level of DFT.

a = 7.011 Å, b = 7.011 Å, c = 7.011 Å
α = 36.01°, β = 36.01°, γ = 36.01°
Fractional positions:
1 Ac 0.000 0.000 0.000
2 Er 0.500 0.500 0.500
3 Pd 0.237 0.237 0.237
4 Pd 0.763 0.763 0.763

## Properties
- density (Mg/m³) = 9.5
- energy relative to the lowest polymorph listed for this composition (eV per atom) = 0.0486
- crystal system = trigonal

***

[3]
Computed, not measured: LiMg2Ga4 after structural relaxation at the PBE level of DFT.

a = 7.706 Å, b = 7.706 Å, c = 7.706 Å
α = 145.05°, β = 145.05°, γ = 50.26°
Fractional positions:
1 Li 0.000 0.000 0.000
2 Mg 0.371 0.371 0.000
3 Mg 0.629 0.629 0.000
4 Ga 0.000 0.500 0.500
5 Ga 0.175 0.175 0.000
6 Ga 0.500 0.000 0.500
7 Ga 0.825 0.825 0.000

## Properties
- density (Mg/m³) = 3.7
- energy relative to the lowest polymorph listed for this composition (eV per atom) = 0.3181
- crystal system = tetragonal

***

[4]
Computed, not measured: SbMoPd2I after structural relaxation at the PBE level of DFT.

a = 4.990 Å, b = 4.990 Å, c = 5.075 Å
α = 90.00°, β = 90.00°, γ = 90.00°
Fractional positions:
1 Sb 0.000 0.000 0.000
2 Mo 0.500 0.500 0.500
3 Pd 0.000 0.500 0.500
4 Pd 0.500 0.000 0.500
5 I 0.500 0.500 0.000

## Properties
- density (Mg/m³) = 7.3
- energy relative to the elements, uncorrected (meV per atom) = 1015
- crystal system = tetragonal